Record 1
# Ta3MoOs, relaxed, DFT PBE
data_Ta3MoOs
_chemical_formula_sum 'Ta3 Mo1 Os1'
_symmetry_space_group_name_H-M 'P m -3 m'
_symmetry_Int_Tables_number 221
_symmetry_space_group_name_Hall '-P 4 2 3'
_cell_length_a 4.7983
_cell_length_b 4.7983
_cell_length_c 4.7983
_cell_angle_alpha 90.00
_cell_angle_beta 90.00
_cell_angle_gamma 90.00
loop_
_atom_site_label
_atom_site_fract_x
_atom_site_fract_y
_atom_site_fract_z
Ta1 0.0000 0.0000 0.5000
Mo1 0.5000 0.5000 0.5000
Os1 0.0000 0.0000 0.0000
# Spin magnetization: 2.0 μB per cell
# Energy of formation: 1.4671 eV/atom

Record 2
# Dy12Er5In2, relaxed, DFT PBE
data_Dy12Er5In2
_chemical_formula_sum 'Dy24 Er10 In4'
_symmetry_space_group_name_H-M 'C 1 2/m 1'
_symmetry_Int_Tables_number 12
_symmetry_space_group_name_Hall '-C 2y'
_cell_length_a 15.3036
_cell_length_b 9.2163
_cell_length_c 8.3115
_cell_angle_alpha 90.00
_cell_angle_beta 91.74
_cell_angle_gamma 90.00
loop_
_atom_site_label
_atom_site_fract_x
_atom_site_fract_y
_atom_site_fract_z
Dy1 0.0538 0.0000 0.3247
Dy2 0.0851 0.5000 0.8858
Dy3 0.1248 0.1963 0.6599
Dy4 0.1499 0.3144 0.2373
Er1 0.0000 0.5000 0.5000
Er2 0.1894 0.0000 0.0063
Er3 0.2342 0.5000 0.5811
In1 0.0000 0.1802 0.0000
# Spin magnetization: 0.0 μB per cell
# Energy of formation: -0.0023 eV/atom

Record 3
# YAg2Te, relaxed, DFT PBE
data_YAg2Te
_chemical_formula_sum 'Y1 Ag2 Te1'
_symmetry_space_group_name_H-M 'P 4 m m'
_symmetry_Int_Tables_number 99
_symmetry_space_group_name_Hall 'P 4 -2'
_cell_length_a 3.8698
_cell_length_b 3.8698
_cell_length_c 6.6347
_cell_angle_alpha 90.00
_cell_angle_beta 90.00
_cell_angle_gamma 90.00
loop_
_atom_site_label
_atom_site_fract_x
_atom_site_fract_y
_atom_site_fract_z
Y1 0.0000 0.0000 0.0000
Ag1 0.0000 0.0000 0.4437
Ag2 0.5000 0.5000 0.3031
Te1 0.5000 0.5000 0.7923
# Spin magnetization: 0.0 μB per cell
# Formation energy without anion corrections: -1.73 eV per formula unit

Record 4
# Fe2RuRh, relaxed, DFT PBE
data_Fe2RuRh
_chemical_formula_sum 'Fe4 Ru2 Rh2'
_symmetry_space_group_name_H-M 'I -4 m 2'
_symmetry_Int_Tables_number 119
_symmetry_space_group_name_Hall 'I -4 -2'
_cell_length_a 3.6799
_cell_length_b 3.6799
_cell_length_c 7.6040
_cell_angle_alpha 90.00
_cell_angle_beta 90.00
_cell_angle_gamma 90.00
loop_
_atom_site_label
_atom_site_fract_x
_atom_site_fract_y
_atom_site_fract_z
Fe1 0.0000 0.0000 0.0000
Fe2 0.0000 0.5000 0.2500
Ru1 0.0000 0.0000 0.5000
Rh1 0.0000 0.5000 0.7500
# Spin magnetization: 8.8 μB per cell
# Energy of formation: 0.0705 eV/atom

Record 5
# HoEr4Th5, relaxed, DFT PBE
data_HoEr4Th5
_chemical_formula_sum 'Ho2 Er8 Th10'
_symmetry_space_group_name_H-M 'C 1 2/m 1'
_symmetry_Int_Tables_number 12
_symmetry_space_group_name_Hall '-C 2y'
_cell_length_a 17.5539
_cell_length_b 3.4354
_cell_length_c 11.0918
_cell_angle_alpha 90.00
_cell_angle_beta 107.24
_cell_angle_gamma 90.00
loop_
_atom_site_label
_atom_site_fract_x
_atom_site_fract_y
_atom_site_fract_z
Ho1 0.0000 0.0000 0.0000
Er1 0.0936 0.5000 0.8099
Er2 0.1967 0.0000 0.0873
Th1 0.0000 0.0000 0.5000
Th2 0.1095 0.5000 0.2942
Th3 0.1973 0.5000 0.5952
# Spin magnetization: 0.0 μB per cell
# Energy of formation: 0.1308 eV/atom

Record 6
# Dy3HoAl4, relaxed, DFT PBE
data_Dy3HoAl4
_chemical_formula_sum 'Dy6 Ho2 Al8'
_symmetry_space_group_name_H-M 'P m m a'
_symmetry_Int_Tables_number 51
_symmetry_space_group_name_Hall '-P 2a 2a'
_cell_length_a 10.1625
_cell_length_b 7.1997
_cell_length_c 5.0813
_cell_angle_alpha 90.00
_cell_angle_beta 90.00
_cell_angle_gamma 90.00
loop_
_atom_site_label
_atom_site_fract_x
_atom_site_fract_y
_atom_site_fract_z
Dy1 0.0000 0.0000 0.0000
Dy2 0.2500 0.0000 0.4986
Dy3 0.2500 0.5000 0.4985
Ho1 0.0000 0.5000 0.0000
Al1 0.0000 0.2509 0.5000
Al2 0.2500 0.2509 0.9981
# Spin magnetization: 0.0 μB per cell
# Energy of formation: -0.3967 eV/atom

Record 7
# Rb2CdI2F2, relaxed, DFT PBE
data_Rb2CdI2F2
_chemical_formula_sum 'Rb4 Cd2 I4 F4'
_symmetry_space_group_name_H-M 'I 4/m m m'
_symmetry_Int_Tables_number 139
_symmetry_space_group_name_Hall '-I 4 2'
_cell_length_a 4.9050
_cell_length_b 4.9050
_cell_length_c 17.8160
_cell_angle_alpha 90.00
_cell_angle_beta 90.00
_cell_angle_gamma 90.00
loop_
_atom_site_label
_atom_site_fract_x
_atom_site_fract_y
_atom_site_fract_z
Rb1 0.0000 0.0000 0.1047
Cd1 0.0000 0.0000 0.5000
I1 0.0000 0.0000 0.3389
F1 0.0000 0.5000 0.0000
# Spin magnetization: 0.0 μB per cell
# Formation energy without anion corrections: -12.59 eV per formula unit

Record 8
# Y7Zn2Rh2, relaxed, DFT PBE
data_Y7Zn2Rh2
_chemical_formula_sum 'Y14 Zn4 Rh4'
_symmetry_space_group_name_H-M 'C m m m'
_symmetry_Int_Tables_number 65
_symmetry_space_group_name_Hall '-C 2 2'
_cell_length_a 7.7592
_cell_length_b 10.8468
_cell_length_c 7.0841
_cell_angle_alpha 90.00
_cell_angle_beta 90.00
_cell_angle_gamma 90.00
loop_
_atom_site_label
_atom_site_fract_x
_atom_site_fract_y
_atom_site_fract_z
Y1 0.0000 0.0000 0.0000
Y2 0.0000 0.5000 0.2556
Y3 0.2500 0.2500 0.2611
Zn1 0.1684 0.0000 0.5000
Rh1 0.0000 0.2922 0.0000
# Spin magnetization: 0.0 μB per cell
# Energy of formation: -0.3193 eV/atom

Q: Number 8 is which compound?
A: Y7Zn2Rh2

Q: Which of these has the highest spin magnetization?
A: Fe2RuRh

Please write out number 8 again, unchanged.
# Y7Zn2Rh2, relaxed, DFT PBE
data_Y7Zn2Rh2
_chemical_formula_sum 'Y14 Zn4 Rh4'
_symmetry_space_group_name_H-M 'C m m m'
_symmetry_Int_Tables_number 65
_symmetry_space_group_name_Hall '-C 2 2'
_cell_length_a 7.7592
_cell_length_b 10.8468
_cell_length_c 7.0841
_cell_angle_alpha 90.00
_cell_angle_beta 90.00
_cell_angle_gamma 90.00
loop_
_atom_site_label
_atom_site_fract_x
_atom_site_fract_y
_atom_site_fract_z
Y1 0.0000 0.0000 0.0000
Y2 0.0000 0.5000 0.2556
Y3 0.2500 0.2500 0.2611
Zn1 0.1684 0.0000 0.5000
Rh1 0.0000 0.2922 0.0000
# Spin magnetization: 0.0 μB per cell
# Energy of formation: -0.3193 eV/atom